[1]
MnRe3W | GGA-PBE | optimized geometry

The calculation puts the magnetization at 0.01 μB/cell. The polymorph energy (0 for the lowest one) comes out at 25.923 kcal/mol of atoms. The formation energy is 2.668 eV per atom.

The space group is Pm-3m (No. 221) and the conventional cell measures 4.6838, 4.6838 and 4.6838 Å, with angles of 90.00, 90.00 and 90.00 degrees. The inequivalent atoms are Mn at (0.0000, 0.0000, 0.0000), Re at (0.0000, 0.5000, 0.5000) and W at (0.5000, 0.5000, 0.5000).

---

[2]
Mn2ReW | GGA-PBE | optimized geometry

The calculation puts the magnetization at 13.16 μB/cell. The formation energy is 0.084 eV per atom.

The space group is F-43m (No. 216) and the conventional cell measures 6.0392, 6.0392 and 6.0392 Å, with angles of 90.00, 90.00 and 90.00 degrees. The inequivalent atoms are Mn at (0.0000, 0.0000, 0.0000), Mn at (0.2500, 0.2500, 0.2500), Re at (0.0000, 0.0000, 0.5000) and W at (0.2500, 0.2500, 0.7500).

---

[3]
MnRe2W | GGA-PBE | optimized geometry

The calculation puts the magnetization at 2.59 μB/cell. The formation energy is 0.191 eV per atom.

The space group is Cmmm (No. 65) and the conventional cell measures 5.4855, 7.7526 and 2.7565 Å, with angles of 90.00, 90.00 and 90.00 degrees. The inequivalent atoms are Mn at (0.0000, 0.0000, 0.0000), Re at (0.2500, 0.2500, 0.5000) and W at (0.0000, 0.5000, 0.0000).

---

[4]
MnZnReW | GGA-PBE | optimized geometry

The calculation puts the magnetization at 7.80 μB/cell. The formation energy is 0.167 eV per atom.

The space group is F-43m (No. 216) and the conventional cell measures 6.1188, 6.1188 and 6.1188 Å, with angles of 90.00, 90.00 and 90.00 degrees. The inequivalent atoms are Mn at (0.0000, 0.0000, 0.0000), Zn at (0.2500, 0.2500, 0.2500), Re at (0.0000, 0.0000, 0.5000) and W at (0.2500, 0.2500, 0.7500).

---

[5]
Y2MnRe3 | GGA-PBE | optimized geometry

The calculation puts the magnetization at 7.38 μB/cell. The formation energy is -0.153 eV per atom.

The space group is R-3m (No. 166, hexagonal axes) and the conventional cell measures 5.3100, 5.3100 and 13.6662 Å, with angles of 90.00, 90.00 and 120.00 degrees. The inequivalent atoms are Y at (0.0000, 0.0000, 0.1240), Mn at (0.0000, 0.0000, 0.5000) and Re at (0.0000, 0.5000, 0.0000).

---

[6]
YMn2Re2 | GGA-PBE | optimized geometry

The calculation puts the magnetization at 0.00 μB/cell. The polymorph energy (0 for the lowest one) comes out at 0.000 kcal/mol of atoms. The formation energy is 0.101 eV per atom.

The space group is I4/mmm (No. 139) and the conventional cell measures 4.1284, 4.1284 and 10.0513 Å, with angles of 90.00, 90.00 and 90.00 degrees. The inequivalent atoms are Y at (0.0000, 0.0000, 0.0000), Mn at (0.0000, 0.5000, 0.2500) and Re at (0.0000, 0.0000, 0.3718).

---

[7]
YMnRe4 | GGA-PBE | optimized geometry

The calculation puts the magnetization at 16.97 μB/cell. The formation energy is 0.135 eV per atom.

The space group is F-43m (No. 216) and the conventional cell measures 7.5051, 7.5051 and 7.5051 Å, with angles of 90.00, 90.00 and 90.00 degrees. The inequivalent atoms are Y at (0.0000, 0.0000, 0.0000), Mn at (0.2500, 0.2500, 0.2500) and Re at (0.1243, 0.1243, 0.6243).

---

[8]
YMn2Re2 | GGA-PBE | optimized geometry

The calculation puts the magnetization at 4.20 μB/cell. The polymorph energy (0 for the lowest one) comes out at 3.346 kcal/mol of atoms. The formation energy is 0.246 eV per atom.

The space group is P4/mbm (No. 127) and the conventional cell measures 7.5094, 7.5094 and 2.7560 Å, with angles of 90.00, 90.00 and 90.00 degrees. The inequivalent atoms are Y at (0.0000, 0.0000, 0.0000), Mn at (0.1388, 0.3612, 0.0000) and Re at (0.1501, 0.6501, 0.5000).

---

[9]
YMnRe3 | GGA-PBE | optimized geometry

The calculation puts the magnetization at 0.00 μB/cell. The formation energy is 0.904 eV per atom.

The space group is Pm-3m (No. 221) and the conventional cell measures 4.5233, 4.5233 and 4.5233 Å, with angles of 90.00, 90.00 and 90.00 degrees. The inequivalent atoms are Y at (0.0000, 0.0000, 0.0000), Mn at (0.5000, 0.5000, 0.5000) and Re at (0.0000, 0.5000, 0.5000).

---

[10]
Y2Mn2Re | GGA-PBE | optimized geometry

The calculation puts the magnetization at 1.54 μB/cell. The polymorph energy (0 for the lowest one) comes out at 0.000 kcal/mol of atoms. The formation energy is 0.156 eV per atom.

The space group is P4/mbm (No. 127) and the conventional cell measures 6.2772, 6.2772 and 4.7045 Å, with angles of 90.00, 90.00 and 90.00 degrees. The inequivalent atoms are Y at (0.1823, 0.3177, 0.0000), Mn at (0.1224, 0.6224, 0.5000) and Re at (0.0000, 0.0000, 0.5000).

---

[11]
Y2Mn16Re | GGA-PBE | optimized geometry

The calculation puts the magnetization at 15.50 μB/cell. The formation energy is 0.000 eV per atom.

The space group is R3m (No. 160, hexagonal axes) and the conventional cell measures 8.6753, 8.6753 and 11.7665 Å, with angles of 90.00, 90.00 and 120.00 degrees. The inequivalent atoms are Y at (0.0000, 0.0000, 0.0000), Y at (0.0000, 0.0000, 0.2889), Mn at (0.0000, 0.0000, 0.5397), Mn at (0.0109, 0.5054, 0.5071), Mn at (0.0562, 0.3888, 0.3085), Mn at (0.1673, 0.3347, 0.4772), Mn at (0.1739, 0.3478, 0.1150) and Re at (0.0000, 0.0000, 0.7426).

---

[12]
Y2Mn2Re | GGA-PBE | optimized geometry

The calculation puts the magnetization at 0.01 μB/cell. The polymorph energy (0 for the lowest one) comes out at 8.074 kcal/mol of atoms. The formation energy is 0.507 eV per atom.

The space group is I4/mmm (No. 139) and the conventional cell measures 3.2391, 3.2391 and 18.0640 Å, with angles of 90.00, 90.00 and 90.00 degrees. The inequivalent atoms are Y at (0.0000, 0.0000, 0.1031), Mn at (0.0000, 0.5000, 0.2500) and Re at (0.0000, 0.0000, 0.5000).

---

In Ry per atom, the calculated total energy values for the records above are, in order, -0.6781 -0.7975 -0.8499 -0.6464 -0.7394 -0.7231 -0.7915 -0.7125 -0.7124 -0.6311 -0.6657 -0.6054.